FeSbSe after structural relaxation. Source: Alexandria via LeMat-Bulk, functional PBE-GGA.

Computed properties:
SG   F-43m, No. 216

Cell and atoms, written as POSCAR:
```
FeSbSe
1.0
4.306 0.000 0.000
2.153 3.729 0.000
2.153 1.243 3.516
Fe Se Sb
1 1 1
direct
0.750 0.750 0.750
0.500 0.500 0.500
0.000 0.000 0.000
```

Si2Se after structural relaxation. Source: Alexandria via LeMat-Bulk, functional PBE-GGA.

Computed properties:
SG   P4/mmm, No. 123
Offset from the most stable computed form   1035 meV/atom

Cell and atoms, written as POSCAR:
```
Si2Se
1.0
3.682 0.000 0.000
0.000 3.682 0.000
0.000 0.000 5.267
Se Si
1 2
direct
0.000 0.000 0.000
0.000 0.000 0.500
0.500 0.500 0.000
```

Number 1: ΔE_f (raw) 2.80 kcal/mol of atoms, E -5.235 eV per atom, spin magnetization 0.0 μB per formula unit. Number 2: ΔE_f (raw) 19.99 kcal/mol of atoms, E -3.910 eV per atom, spin magnetization 0.0 μB per formula unit.